No. 1
TaBeMo2 after structural relaxation. Source: Alexandria via LeMat-Bulk, functional GGA-PBEsol.

Output
- DFT total energy (Ry per atom) = -0.7244
- ΔH_f (0 K) (eV/atom) = 0.17

Cell: 2.662 4.373 5.113 Å, 90.00 99.08 90.00°
Fractional coordinates of all 4 atoms:
Ta: 0.000 0.000 0.000
Be: 0.500 0.000 0.500
Mo: 0.262 0.500 0.743
Mo: 0.738 0.500 0.257


No. 2
TaBeMo2 after structural relaxation. Source: Alexandria via LeMat-Bulk, functional GGA-PBEsol.

Output
- DFT total energy (Ry per atom) = -0.7262
- ΔH_f (0 K) (eV/atom) = 0.14

Cell: 4.130 4.130 3.390 Å, 90.00 90.00 90.00°
Fractional coordinates of all 4 atoms:
Ta: 0.000 0.000 0.000
Be: 0.500 0.500 0.000
Mo: 0.000 0.500 0.500
Mo: 0.500 0.000 0.500


No. 3
Ta2BeMo after structural relaxation. Source: Alexandria via LeMat-Bulk, functional GGA-PBEsol.

Output
- DFT total energy (Ry per atom) = -0.7460
- ΔH_f (0 K) (eV/atom) = 0.07

Cell: 2.731 2.731 8.235 Å, 90.00 90.00 104.15°
Fractional coordinates of all 4 atoms:
Ta: 0.000 0.000 0.223
Ta: 0.000 0.000 0.777
Be: 0.500 0.500 0.000
Mo: 0.500 0.500 0.500


No. 4
Ta2BeMo after structural relaxation. Source: Alexandria via LeMat-Bulk, functional GGA-PBEsol.

Output
- DFT total energy (Ry per atom) = -0.7387
- ΔH_f (0 K) (eV/atom) = 0.17

Cell: 5.155 5.155 2.702 Å, 99.83 99.83 115.50°
Fractional coordinates of all 4 atoms:
Ta: 0.000 0.500 0.000
Ta: 0.500 0.000 0.000
Be: 0.000 0.000 0.500
Mo: 0.500 0.500 0.500


No. 5
TaBeMo2 after structural relaxation. Source: Alexandria via LeMat-Bulk, functional GGA-PBEsol.

Output
- DFT total energy (Ry per atom) = -0.7217
- ΔH_f (0 K) (eV/atom) = 0.20

Cell: 5.037 5.037 5.037 Å, 137.15 137.15 62.21°
Fractional coordinates of all 4 atoms:
Ta: 0.000 0.000 0.000
Be: 0.500 0.500 0.000
Mo: 0.250 0.750 0.500
Mo: 0.750 0.250 0.500


No. 6
TaBe2Mo after structural relaxation. Source: Alexandria via LeMat-Bulk, functional GGA-PBEsol.

Output
- DFT total energy (Ry per atom) = -0.5930
- ΔH_f (0 K) (eV/atom) = 0.01

Cell: 4.390 4.390 4.390 Å, 128.84 128.84 75.26°
Fractional coordinates of all 4 atoms:
Ta: 0.000 0.000 0.000
Be: 0.250 0.750 0.500
Be: 0.750 0.250 0.500
Mo: 0.500 0.500 0.000


No. 7
Ta2BeMo after structural relaxation. Source: Alexandria via LeMat-Bulk, functional GGA-PBEsol.

Output
- DFT total energy (Ry per atom) = -0.7453
- ΔH_f (0 K) (eV/atom) = 0.08

Cell: 2.736 2.736 8.175 Å, 90.00 90.00 103.67°
Fractional coordinates of all 4 atoms:
Ta: 0.000 0.000 0.000
Ta: 0.500 0.500 0.290
Be: 0.500 0.500 0.775
Mo: 0.000 0.000 0.568


No. 8
TaBe2Mo after structural relaxation. Source: Alexandria via LeMat-Bulk, functional GGA-PBEsol.

Output
- DFT total energy (Ry per atom) = -0.6086
- ΔH_f (0 K) (eV/atom) = -0.20

Cell: 3.319 4.755 4.755 Å, 39.93 90.00 90.00°
Fractional coordinates of all 4 atoms:
Ta: 0.000 0.000 0.000
Be: 0.000 0.276 0.276
Be: 0.500 0.409 0.409
Mo: 0.500 0.695 0.695


No. 9
Ta2Be2Mo after structural relaxation. Source: Alexandria via LeMat-Bulk, functional GGA-PBEsol.

Output
- DFT total energy (Ry per atom) = -0.6761
- ΔH_f (0 K) (eV/atom) = -0.23

Cell: 6.335 6.335 3.292 Å, 90.00 90.00 90.00°
Fractional coordinates of all 10 atoms:
Ta: 0.180 0.320 0.000
Ta: 0.320 0.820 0.000
Ta: 0.680 0.180 0.000
Ta: 0.820 0.680 0.000
Be: 0.116 0.616 0.500
Be: 0.384 0.116 0.500
Be: 0.616 0.884 0.500
Be: 0.884 0.384 0.500
Mo: 0.000 0.000 0.500
Mo: 0.500 0.500 0.500


No. 10
TaBeMo after structural relaxation. Source: Alexandria via LeMat-Bulk, functional GGA-PBEsol.

Output
- DFT total energy (Ry per atom) = -0.6656
- ΔH_f (0 K) (eV/atom) = 0.38

Cell: 2.777 2.777 6.584 Å, 90.00 90.00 120.00°
Fractional coordinates of all 3 atoms:
Ta: 0.000 0.000 0.000
Be: 0.333 0.667 0.677
Mo: 0.667 0.333 0.375


No. 11
Be2TcMo after structural relaxation. Source: Alexandria via LeMat-Bulk, functional GGA-PBEsol.

Output
- DFT total energy (Ry per atom) = -0.5855
- ΔH_f (0 K) (eV/atom) = -0.21

Cell: 3.201 4.652 4.652 Å, 39.01 90.00 90.00°
Fractional coordinates of all 4 atoms:
Be: 0.000 0.000 0.000
Be: 0.500 0.136 0.136
Tc: 0.500 0.416 0.416
Mo: 0.000 0.724 0.724


No. 12
Be2TcMo after structural relaxation. Source: Alexandria via LeMat-Bulk, functional GGA-PBEsol.

Output
- DFT total energy (Ry per atom) = -0.5654
- ΔH_f (0 K) (eV/atom) = 0.07

Cell: 2.996 2.996 5.070 Å, 90.00 90.00 90.00°
Fractional coordinates of all 4 atoms:
Be: 0.000 0.000 0.228
Be: 0.000 0.000 0.772
Tc: 0.500 0.500 0.000
Mo: 0.500 0.500 0.500


Question: What is the ΔH_f (0 K) in the sixth record?
Answer: 0.01 eV/atom


Question: Which of these has the lowest DFT total energy?
Answer: number 3


Question: Look up the DFT total energy of the eleventh one.
Answer: -0.5855 Ry per atom